# 1
ZrZnTe2 at its PBEsol-relaxed geometry. Source: Alexandria via LeMat-Bulk, functional SCAN. Values from VASP.

Geometry as Quantum ESPRESSO input:
```
&SYSTEM
  ibrav = 0, nat = 4, ntyp = 3
/
ATOMIC_SPECIES
Zr 91.22 Zr.upf
Te 127.60 Te.upf
Zn 65.41 Zn.upf
ATOMIC_POSITIONS crystal
Zr 0.685 0.500 0.369
Te 0.098 0.000 0.196
Zn 0.858 0.000 0.715
Te 0.383 0.500 0.765
CELL_PARAMETERS angstrom
-0.052 2.217 -3.270
-2.922 -2.382 -1.568
-3.874 2.172 3.921
```

Crystal system = orthorhombic
Magnetization = 0.00 μB/f.u.
Energy relative to the elements, uncorrected = -0.684 eV per atom
Theoretical density = 7.59 Mg/m³

# 2
TlSnAs3 at its PBEsol-relaxed geometry. Source: Alexandria via LeMat-Bulk, functional SCAN. Values from VASP.

Geometry as Quantum ESPRESSO input:
```
&SYSTEM
  ibrav = 0, nat = 5, ntyp = 3
/
ATOMIC_SPECIES
As 74.92 As.upf
Sn 118.71 Sn.upf
Tl 204.38 Tl.upf
ATOMIC_POSITIONS crystal
As 0.500 0.000 0.000
Sn 0.000 0.000 0.000
As 0.000 0.000 0.500
Tl 0.500 0.500 0.500
As 0.000 0.500 0.000
CELL_PARAMETERS angstrom
-0.759 -5.145 0.626
3.177 -0.962 -4.052
4.095 -0.207 3.260
```

Crystal system = cubic
Magnetization = 0.00 μB/f.u.
E = -33.005 eV per atom
Theoretical density = 6.33 Mg/m³

# 3
Ca3P2O8 at its PBEsol-relaxed geometry. Source: Alexandria via LeMat-Bulk, functional SCAN. Values from VASP.

Geometry as Quantum ESPRESSO input:
```
&SYSTEM
  ibrav = 0, nat = 13, ntyp = 3
/
ATOMIC_SPECIES
O 16.00 O.upf
P 30.97 P.upf
Ca 40.08 Ca.upf
ATOMIC_POSITIONS crystal
O 0.775 0.680 0.499
O 0.745 0.253 0.318
P 0.349 0.651 0.000
Ca 0.691 0.309 0.000
Ca 0.008 0.992 0.729
O 0.686 0.769 0.001
O 0.249 0.748 0.174
O 0.320 0.225 0.501
O 0.231 0.314 0.999
O 0.252 0.751 0.826
Ca 0.008 0.992 0.271
O 0.747 0.255 0.682
P 0.649 0.351 0.500
CELL_PARAMETERS angstrom
-2.545 -3.283 -3.134
4.992 -1.168 0.887
-1.925 -3.906 5.663
```

Crystal system = monoclinic
Magnetization = 0.00 μB/f.u.
Energy relative to the elements, uncorrected = -3.101 eV per atom
Energy above the lowest structure with this stoichiometry = 1.03 eV per formula unit
Theoretical density = 2.95 Mg/m³

# 4
BeFeCo2 at its PBEsol-relaxed geometry. Source: Alexandria via LeMat-Bulk, functional SCAN. Values from VASP.

Geometry as Quantum ESPRESSO input:
```
&SYSTEM
  ibrav = 0, nat = 4, ntyp = 3
/
ATOMIC_SPECIES
Co 58.93 Co.upf
Fe 55.84 Fe.upf
Be 9.01 Be.upf
ATOMIC_POSITIONS crystal
Co 0.750 0.250 0.499
Fe 0.505 0.505 0.010
Co 0.993 0.993 0.985
Be 0.253 0.753 0.506
CELL_PARAMETERS angstrom
2.716 0.000 0.000
0.000 3.762 0.000
-1.358 -1.881 3.800
```

Crystal system = orthorhombic
Magnetization = 5.40 μB/f.u.
E = -14.388 eV per atom
Theoretical density = 7.81 Mg/m³

# 5
MnSiAs2 at its PBEsol-relaxed geometry. Source: Alexandria via LeMat-Bulk, functional SCAN. Values from VASP.

Geometry as Quantum ESPRESSO input:
```
&SYSTEM
  ibrav = 0, nat = 4, ntyp = 3
/
ATOMIC_SPECIES
Mn 54.94 Mn.upf
Si 28.09 Si.upf
As 74.92 As.upf
ATOMIC_POSITIONS crystal
Mn 0.506 0.506 0.483
Si 0.236 0.236 0.292
As 0.773 0.773 0.681
As 0.985 0.985 0.044
CELL_PARAMETERS angstrom
2.850 0.000 0.000
1.425 2.468 0.000
1.425 0.823 8.799
```

Crystal system = trigonal
Magnetization = 0.00 μB/f.u.
Energy relative to the elements, uncorrected = 0.122 eV per atom
Theoretical density = 6.25 Mg/m³

# 6
Li2TaPt at its PBEsol-relaxed geometry. Source: Alexandria via LeMat-Bulk, functional SCAN. Values from VASP.

Geometry as Quantum ESPRESSO input:
```
&SYSTEM
  ibrav = 0, nat = 4, ntyp = 3
/
ATOMIC_SPECIES
Li 6.94 Li.upf
Pt 195.08 Pt.upf
Ta 180.95 Ta.upf
ATOMIC_POSITIONS crystal
Li 0.000 0.000 0.500
Pt 0.500 0.500 0.500
Li 0.000 0.500 0.000
Ta 0.500 0.000 0.000
CELL_PARAMETERS angstrom
-1.376 0.677 -2.461
3.297 -1.549 -2.270
-1.844 -3.875 -0.034
```

Crystal system = tetragonal
Magnetization = 0.00 μB/f.u.
Energy above the lowest structure with this stoichiometry = 1.70 eV per formula unit
Theoretical density = 12.12 Mg/m³

# 7
Tl2Cd at its PBEsol-relaxed geometry. Source: Alexandria via LeMat-Bulk, functional SCAN. Values from VASP.

Geometry as Quantum ESPRESSO input:
```
&SYSTEM
  ibrav = 0, nat = 12, ntyp = 2
/
ATOMIC_SPECIES
Cd 112.41 Cd.upf
Tl 204.38 Tl.upf
ATOMIC_POSITIONS crystal
Cd 0.750 0.812 0.105
Tl 0.250 0.549 0.284
Tl 0.750 0.835 0.435
Tl 0.750 0.451 0.716
Tl 0.250 0.165 0.565
Tl 0.750 0.951 0.784
Tl 0.750 0.335 0.065
Tl 0.250 0.049 0.216
Cd 0.250 0.188 0.895
Cd 0.250 0.688 0.605
Cd 0.750 0.312 0.395
Tl 0.250 0.665 0.935
CELL_PARAMETERS angstrom
4.991 0.000 0.000
0.000 6.563 0.000
0.000 0.000 9.576
```

Crystal system = orthorhombic
Magnetization = 0.00 μB/f.u.
Energy above the lowest structure with this stoichiometry = 0.08 eV per formula unit
Theoretical density = 11.04 Mg/m³

# 8
Cd2HgBr at its PBEsol-relaxed geometry. Source: Alexandria via LeMat-Bulk, functional SCAN. Values from VASP.

Geometry as Quantum ESPRESSO input:
```
&SYSTEM
  ibrav = 0, nat = 4, ntyp = 3
/
ATOMIC_SPECIES
Br 79.90 Br.upf
Cd 112.41 Cd.upf
Hg 200.59 Hg.upf
ATOMIC_POSITIONS crystal
Br 0.273 0.222 0.232
Cd 0.741 0.782 0.736
Hg 0.488 0.449 0.575
Cd 0.998 0.047 0.958
CELL_PARAMETERS angstrom
-0.592 -0.762 3.725
1.466 -4.823 1.234
5.679 -0.388 2.810
```

Crystal system = monoclinic
Magnetization = 0.00 μB/f.u.
Energy relative to the elements, uncorrected = -0.200 eV per atom
Energy above the lowest structure with this stoichiometry = 0.00 eV per formula unit
Theoretical density = 7.96 Mg/m³

# 9
KSbSCl2 at its PBEsol-relaxed geometry. Source: Alexandria via LeMat-Bulk, functional SCAN. Values from VASP.

Geometry as Quantum ESPRESSO input:
```
&SYSTEM
  ibrav = 0, nat = 5, ntyp = 4
/
ATOMIC_SPECIES
Cl 35.45 Cl.upf
S 32.06 S.upf
Sb 121.76 Sb.upf
K 39.10 K.upf
ATOMIC_POSITIONS crystal
Cl 0.500 0.000 0.000
S 0.000 0.000 0.500
Sb 0.500 0.500 0.500
Cl 0.000 0.500 0.000
K 0.000 0.000 0.000
CELL_PARAMETERS angstrom
-4.345 2.820 0.804
-0.917 0.059 -5.161
-2.908 -4.611 0.464
```

Crystal system = tetragonal
Magnetization = 0.01 μB/f.u.
Energy relative to the elements, uncorrected = 0.200 eV per atom
Theoretical density = 2.91 Mg/m³

# 10
ErNi4Au at its PBEsol-relaxed geometry. Source: Alexandria via LeMat-Bulk, functional SCAN. Values from VASP.

Geometry as Quantum ESPRESSO input:
```
&SYSTEM
  ibrav = 0, nat = 6, ntyp = 3
/
ATOMIC_SPECIES
Er 167.26 Er.upf
Ni 58.69 Ni.upf
Au 196.97 Au.upf
ATOMIC_POSITIONS crystal
Er 0.750 0.750 0.750
Ni 0.374 0.374 0.877
Ni 0.374 0.877 0.374
Ni 0.374 0.374 0.374
Ni 0.877 0.374 0.374
Au 0.000 0.000 0.000
CELL_PARAMETERS angstrom
-0.890 4.405 -1.766
-2.501 3.192 2.622
2.225 3.850 1.881
```

Crystal system = cubic
Magnetization = 0.00 μB/f.u.
E = -31.111 eV per atom
Theoretical density = 12.49 Mg/m³

# 11
NbAs2SeI at its PBEsol-relaxed geometry. Source: Alexandria via LeMat-Bulk, functional SCAN. Values from VASP.

Geometry as Quantum ESPRESSO input:
```
&SYSTEM
  ibrav = 0, nat = 5, ntyp = 4
/
ATOMIC_SPECIES
I 126.90 I.upf
Nb 92.91 Nb.upf
Se 78.96 Se.upf
As 74.92 As.upf
ATOMIC_POSITIONS crystal
I 0.500 0.500 0.500
Nb 0.000 0.000 0.000
Se 0.500 0.000 0.000
As 0.000 0.000 0.500
As 0.000 0.500 0.000
CELL_PARAMETERS angstrom
4.860 0.000 0.000
0.000 5.082 0.000
0.000 0.000 5.082
```

Crystal system = tetragonal
Magnetization = 0.00 μB/f.u.
Energy relative to the elements, uncorrected = 0.178 eV per atom
Theoretical density = 5.94 Mg/m³

# 12
BaZr3Pb at its PBEsol-relaxed geometry. Source: Alexandria via LeMat-Bulk, functional SCAN. Values from VASP.

Geometry as Quantum ESPRESSO input:
```
&SYSTEM
  ibrav = 0, nat = 5, ntyp = 3
/
ATOMIC_SPECIES
Ba 137.33 Ba.upf
Pb 207.20 Pb.upf
Zr 91.22 Zr.upf
ATOMIC_POSITIONS crystal
Ba 0.000 0.000 0.000
Pb 0.500 0.500 0.500
Zr 0.500 0.000 0.000
Zr 0.000 0.000 0.500
Zr 0.000 0.500 0.000
CELL_PARAMETERS angstrom
5.219 0.000 0.000
0.000 5.219 0.000
0.000 0.000 5.219
```

Crystal system = cubic
Magnetization = 0.95 μB/f.u.
E = -39.866 eV per atom
Theoretical density = 7.22 Mg/m³

- Which of these has the highest magnetization?
  BeFeCo2

- Among the records above, which one has the highest theoretical density?
  ErNi4Au